First-principles (PBE) data for a geometry-optimized BeCu2 structure, as listed in Alexandria via LeMat-Bulk.

POSCAR file:
```
BeCu2
1.0
-4.986 -0.450 -3.427
-4.044 -2.772 -3.574
-5.456 -2.113 -1.607
Cu Be
2 1
Direct
0.772 0.772 0.772
0.561 0.561 0.561
0.000 0.000 0.000
```

Results
**Size of the total moment**: 0.000 μB per formula unit
**Formation energy from the elements**: -8 meV per atom
**Crystal system**: trigonal

First-principles (PBE) data for a geometry-optimized LiTiNb2Ir structure, as listed in Alexandria via LeMat-Bulk.

POSCAR file:
```
LiTiNb2Ir
1.0
-3.970 1.858 -0.297
-1.771 -3.661 0.775
0.085 0.871 4.306
Ti Ir Nb Li
1 1 2 1
Direct
0.000 0.500 0.000
0.500 0.500 0.500
0.000 0.000 0.500
0.500 0.000 0.000
0.000 0.000 0.000
```

Results
**Size of the total moment**: 0.000 μB per formula unit
**Formation energy from the elements**: 852 meV per atom
**Crystal system**: tetragonal

First-principles (PBE) data for a geometry-optimized Ca2SbTe2 structure, as listed in Alexandria via LeMat-Bulk.

POSCAR file:
```
Ca2SbTe2
1.0
8.751 0.000 0.000
0.000 8.751 0.000
0.000 0.000 4.049
Ca Te Sb
4 4 2
Direct
0.156 0.656 0.500
0.656 0.844 0.500
0.344 0.156 0.500
0.844 0.344 0.500
0.651 0.151 0.000
0.349 0.849 0.000
0.151 0.349 0.000
0.849 0.651 0.000
0.500 0.500 0.000
0.000 0.000 0.000
```

Results
**Formation energy without anion corrections**: -0.933 eV per atom
**Size of the total moment**: 0.000 μB per formula unit
**Crystal system**: tetragonal

First-principles (PBE) data for a geometry-optimized GdSbIr structure, as listed in Alexandria via LeMat-Bulk.

POSCAR file:
```
GdSbIr
1.0
-0.046 -2.327 -2.752
-2.246 -3.053 2.618
-2.360 3.040 -2.531
Gd Ir Sb
1 1 1
Direct
0.667 0.667 0.333
0.167 0.000 0.000
0.167 0.333 0.667
```

Results
**Formation energy without anion corrections**: -0.771 eV per atom
**Size of the total moment**: 6.986 μB per formula unit
**Crystal system**: hexagonal

First-principles (PBE) data for a geometry-optimized Er2Zn9Ga3 structure, as listed in Alexandria via LeMat-Bulk.

POSCAR file:
```
Er2Zn9Ga3
1.0
-2.268 6.814 2.974
-5.436 -5.138 -2.115
0.148 -3.561 8.271
Er Zn Ga
4 18 6
Direct
0.310 0.989 0.750
0.011 0.690 0.250
0.989 0.310 0.750
0.690 0.011 0.250
0.333 0.333 0.936
0.553 0.359 0.250
0.667 0.667 0.436
0.359 0.553 0.250
0.849 0.849 0.750
0.447 0.641 0.750
0.971 0.650 0.906
0.667 0.667 0.064
0.641 0.447 0.750
0.650 0.971 0.906
0.350 0.029 0.094
0.650 0.971 0.594
0.029 0.350 0.094
0.029 0.350 0.406
0.350 0.029 0.406
0.151 0.151 0.250
0.333 0.333 0.564
0.971 0.650 0.594
0.309 0.691 0.500
0.000 0.000 0.000
0.000 0.000 0.500
0.691 0.309 0.500
0.309 0.691 0.000
0.691 0.309 0.000
```

Results
**Size of the total moment**: 0.000 μB per formula unit
**Formation energy from the elements**: -228 meV per atom
**Crystal system**: orthorhombic

First-principles (PBE) data for a geometry-optimized Nd9SmSn2 structure, as listed in Alexandria via LeMat-Bulk.

POSCAR file:
```
Nd9SmSn2
1.0
4.989 0.000 0.000
0.000 4.989 0.000
0.000 0.000 15.402
Nd Sn Sm
9 2 1
Direct
0.500 0.000 0.177
0.000 0.500 0.823
0.500 0.500 0.340
0.500 0.000 0.500
0.000 0.500 0.177
0.500 0.000 0.823
0.500 0.500 0.660
0.000 0.500 0.500
0.500 0.500 0.000
0.000 0.000 0.338
0.000 0.000 0.662
0.000 0.000 0.000
```

Results
**Size of the total moment**: 0.000 μB per formula unit
**Formation energy from the elements**: -279 meV per atom
**Crystal system**: tetragonal

First-principles (PBE) data for a geometry-optimized CaURh2 structure, as listed in Alexandria via LeMat-Bulk.

POSCAR file:
```
CaURh2
1.0
-0.300 -2.626 2.094
1.514 -1.982 -2.269
6.430 1.585 2.907
U Ca Rh
1 1 2
Direct
0.500 0.500 0.000
0.500 0.500 0.500
0.000 0.000 0.212
0.000 0.000 0.788
```

Results
**Size of the total moment**: 1.354 μB per formula unit
**Formation energy from the elements**: -495 meV per atom
**Crystal system**: tetragonal

First-principles (PBE) data for a geometry-optimized Na3Pu2NpS6 structure, as listed in Alexandria via LeMat-Bulk.

POSCAR file:
```
Na3Pu2NpS6
1.0
6.990 -0.001 0.000
-3.495 6.054 0.000
-1.166 -2.019 6.612
S Na Np Pu
6 3 1 2
Direct
0.254 0.254 0.775
0.405 0.075 0.226
0.075 0.405 0.226
0.925 0.595 0.774
0.746 0.746 0.225
0.595 0.925 0.774
0.500 0.500 0.500
0.167 0.833 0.500
0.833 0.167 0.500
0.000 0.000 0.000
0.333 0.667 0.000
0.667 0.333 0.000
```

Results
**Formation energy without anion corrections**: -1.503 eV per atom
**Size of the total moment**: 14.000 μB per formula unit
**Crystal system**: monoclinic

First-principles (PBE) data for a geometry-optimized NdTmZnNi structure, as listed in Alexandria via LeMat-Bulk.

POSCAR file:
```
NdTmZnNi
1.0
-2.076 -2.042 -4.023
-4.039 -2.852 0.467
-4.397 1.637 -1.627
Ni Nd Tm Zn
1 1 1 1
Direct
0.250 0.250 0.250
0.500 0.500 0.500
0.000 0.000 0.000
0.750 0.750 0.750
```

Results
**Size of the total moment**: 0.000 μB per formula unit
**Formation energy from the elements**: -297 meV per atom
**Crystal system**: cubic

First-principles (PBE) data for a geometry-optimized MgIrRh2 structure, as listed in Alexandria via LeMat-Bulk.

POSCAR file:
```
MgIrRh2
1.0
-3.723 -0.021 -0.819
0.743 -1.695 -3.333
-2.300 -8.859 1.812
Ir Rh Mg
2 4 2
Direct
0.000 0.000 0.000
0.750 0.250 0.500
0.375 0.366 0.750
0.634 0.125 0.250
0.875 0.884 0.750
0.116 0.625 0.250
0.500 0.500 0.000
0.250 0.750 0.500
```

Results
**Size of the total moment**: 0.000 μB per formula unit
**Formation energy from the elements**: 270 meV per atom
**Crystal system**: tetragonal

First-principles (PBE) data for a geometry-optimized Ca2TlIr structure, as listed in Alexandria via LeMat-Bulk.

POSCAR file:
```
Ca2TlIr
1.0
-0.514 -1.528 -3.809
-1.714 -3.494 -1.402
-8.067 3.209 -1.403
Ir Ca Tl
1 2 1
Direct
0.750 0.750 0.750
0.010 0.010 0.943
0.490 0.490 0.557
0.250 0.250 0.250
```

Results
**Size of the total moment**: 0.000 μB per formula unit
**Formation energy from the elements**: -94 meV per atom
**Crystal system**: monoclinic
**Excess energy over the best structure of this formula in the dataset**: 0.201 eV/atom

First-principles (PBE) data for a geometry-optimized PmSm2SbO8 structure, as listed in Alexandria via LeMat-Bulk.

POSCAR file:
```
PmSm2SbO8
1.0
4.167 -0.172 -0.001
-0.152 5.341 -0.005
0.004 0.008 7.448
O Sm Sb Pm
8 2 1 1
Direct
0.494 0.249 0.500
0.571 0.803 0.000
0.043 0.758 0.212
0.043 0.758 0.788
0.506 0.751 0.500
0.429 0.197 0.000
0.957 0.242 0.788
0.957 0.242 0.212
0.500 0.500 0.753
0.500 0.500 0.247
0.000 0.000 0.000
0.000 0.000 0.500
```

Results
**Formation energy without anion corrections**: -2.414 eV per atom
**Size of the total moment**: 1.564 μB per formula unit
**Crystal system**: monoclinic

First-principles (PBE) data for a geometry-optimized VCo3Ni structure, as listed in Alexandria via LeMat-Bulk.

POSCAR file:
```
VCo3Ni
1.0
-3.722 -1.977 2.129
0.189 -4.045 -3.425
3.063 -1.329 4.121
Ni V Co
2 2 6
Direct
0.500 0.000 0.000
0.000 0.000 0.000
0.750 0.712 0.288
0.250 0.288 0.712
0.750 0.646 0.721
0.250 0.767 0.233
0.250 0.721 0.646
0.750 0.233 0.767
0.750 0.279 0.354
0.250 0.354 0.279
```

Results
**Size of the total moment**: 2.641 μB per formula unit
**Formation energy from the elements**: 409 meV per atom
**Crystal system**: orthorhombic
**Excess energy over the best structure of this formula in the dataset**: 0.000 eV/atom

First-principles (PBE) data for a geometry-optimized AlNi2B2 structure, as listed in Alexandria via LeMat-Bulk.

POSCAR file:
```
AlNi2B2
1.0
-5.433 -0.636 -1.958
-0.945 -4.137 3.968
-0.851 1.876 1.753
Ni Al B
4 2 4
Direct
0.196 0.696 0.500
0.804 0.304 0.500
0.304 0.196 0.500
0.696 0.804 0.500
0.500 0.500 0.000
0.000 0.000 0.000
0.397 0.897 0.000
0.897 0.603 0.000
0.603 0.103 0.000
0.103 0.397 0.000
```

Results
**Size of the total moment**: 0.000 μB per formula unit
**Formation energy from the elements**: -197 meV per atom
**Crystal system**: tetragonal

First-principles (PBE) data for a geometry-optimized Cs3Na2LaCl9 structure, as listed in Alexandria via LeMat-Bulk.

POSCAR file:
```
Cs3Na2LaCl9
1.0
-6.076 -2.621 -4.024
7.078 -0.149 -3.138
1.451 -9.045 3.700
Na Cl Cs La
2 9 3 1
Direct
0.333 0.667 0.168
0.667 0.333 0.832
0.167 0.333 0.334
0.667 0.833 0.334
0.833 0.667 0.666
0.500 0.500 0.000
0.833 0.167 0.666
0.500 0.000 0.000
0.000 0.500 0.000
0.333 0.167 0.666
0.167 0.833 0.334
0.333 0.667 0.686
0.000 0.000 0.000
0.667 0.333 0.314
0.000 0.000 0.500
```

Results
**Formation energy without anion corrections**: -1.881 eV per atom
**Size of the total moment**: 1.062 μB per formula unit
**Crystal system**: trigonal

First-principles (PBE) data for a geometry-optimized Pr8GeBi5 structure, as listed in Alexandria via LeMat-Bulk.

POSCAR file:
```
Pr8GeBi5
1.0
7.941 0.000 -2.707
-3.973 6.821 -2.841
0.005 0.000 8.390
Pr Ge Bi
8 1 5
Direct
0.778 0.256 0.384
0.128 0.744 0.522
0.606 0.875 0.874
0.616 0.394 0.872
0.478 0.606 0.222
0.998 0.125 0.731
0.126 0.732 0.002
0.269 0.268 0.394
0.250 0.500 0.750
0.882 0.873 0.249
0.991 0.366 0.118
0.376 0.127 0.009
0.751 0.634 0.624
0.500 0.000 0.500
```

Results
**Size of the total moment**: 0.000 μB per formula unit
**Formation energy from the elements**: -836 meV per atom
**Crystal system**: tetragonal

First-principles (PBE) data for a geometry-optimized NpCdPd structure, as listed in Alexandria via LeMat-Bulk.

POSCAR file:
```
NpCdPd
1.0
-3.520 -3.514 1.994
-3.092 -2.463 -2.600
2.337 -6.225 0.356
Pd Cd Np
2 2 2
Direct
0.613 0.000 0.775
0.387 0.000 0.225
0.750 0.500 0.500
0.250 0.500 0.500
0.832 0.336 0.000
0.168 0.664 0.000
```

Results
**Size of the total moment**: 4.248 μB per formula unit
**Formation energy from the elements**: -33 meV per atom
**Crystal system**: orthorhombic

First-principles (PBE) data for a geometry-optimized K3NaBr4 structure, as listed in Alexandria via LeMat-Bulk.

POSCAR file:
```
K3NaBr4
1.0
4.615 0.000 0.000
0.000 8.004 -0.068
0.000 -2.588 7.574
K Br Na
3 4 1
Direct
0.000 0.000 0.500
0.000 0.500 0.000
0.500 0.500 0.500
0.500 0.240 0.760
0.000 0.234 0.234
0.500 0.760 0.240
0.000 0.766 0.766
0.500 0.000 0.000
```

Results
**Formation energy without anion corrections**: -1.687 eV per atom
**Size of the total moment**: 0.000 μB per formula unit
**Crystal system**: orthorhombic

First-principles (PBE) data for a geometry-optimized Tl2TePb structure, as listed in Alexandria via LeMat-Bulk.

POSCAR file:
```
Tl2TePb
1.0
4.399 0.000 0.000
0.000 4.399 0.000
0.000 0.000 6.684
Tl Pb Te
2 1 1
Direct
0.000 0.000 0.507
0.000 0.000 0.993
0.500 0.500 0.250
0.500 0.500 0.750
```

Results
**Formation energy without anion corrections**: -0.098 eV per atom
**Size of the total moment**: 0.000 μB per formula unit
**Crystal system**: tetragonal
**Excess energy over the best structure of this formula in the dataset**: 0.050 eV/atom

First-principles (PBE) data for a geometry-optimized Ba2HPdS structure, as listed in Alexandria via LeMat-Bulk.

POSCAR file:
```
Ba2HPdS
1.0
5.548 0.000 0.000
0.000 5.548 0.000
0.000 0.000 3.871
Pd S Ba H
1 1 2 1
Direct
0.000 0.000 0.500
0.500 0.500 0.500
0.000 0.500 0.000
0.500 0.000 0.000
0.000 0.000 0.000
```

Results
**Size of the total moment**: 0.000 μB per formula unit
**Crystal system**: tetragonal
**Uncorrected energy**: -4.296 eV per atom

First-principles (PBE) data for a geometry-optimized TaBeGa structure, as listed in Alexandria via LeMat-Bulk.

POSCAR file:
```
TaBeGa
1.0
3.365 0.000 1.323
1.356 4.540 1.491
-0.100 -0.193 5.195
Ta Be Ga
2 2 2
Direct
0.921 0.821 0.337
0.079 0.179 0.663
0.362 0.601 0.674
0.638 0.399 0.326
0.673 0.747 0.907
0.327 0.253 0.093
```

Results
**Size of the total moment**: 0.000 μB per formula unit
**Formation energy from the elements**: -296 meV per atom
**Crystal system**: monoclinic
**Excess energy over the best structure of this formula in the dataset**: 0.000 eV/atom

First-principles (PBE) data for a geometry-optimized BeReAu2 structure, as listed in Alexandria via LeMat-Bulk.

POSCAR file:
```
BeReAu2
1.0
-1.349 1.208 -3.078
-2.485 -1.167 0.631
-2.929 4.487 3.045
Au Be Re
2 1 1
Direct
0.500 0.421 0.281
0.000 0.073 0.978
0.000 0.291 0.545
0.500 0.715 0.696
```

Results
**Size of the total moment**: 0.000 μB per formula unit
**Formation energy from the elements**: 294 meV per atom
**Crystal system**: orthorhombic

First-principles (PBE) data for a geometry-optimized LiDyNi2 structure, as listed in Alexandria via LeMat-Bulk.

POSCAR file:
```
LiDyNi2
1.0
3.308 0.000 0.000
0.000 3.308 0.000
0.000 0.000 5.679
Li Ni Dy
1 2 1
Direct
0.500 0.500 0.500
0.000 0.000 0.281
0.000 0.000 0.719
0.500 0.500 0.000
```

Results
**Size of the total moment**: 0.000 μB per formula unit
**Formation energy from the elements**: -158 meV per atom
**Crystal system**: tetragonal
**Excess energy over the best structure of this formula in the dataset**: 0.014 eV/atom

First-principles (PBE) data for a geometry-optimized LaCu2W structure, as listed in Alexandria via LeMat-Bulk.

POSCAR file:
```
LaCu2W
1.0
4.984 -0.023 0.000
1.343 4.800 0.000
-3.163 -2.388 3.022
La Cu W
1 2 1
Direct
0.250 0.750 0.500
0.500 0.500 0.000
0.000 0.000 0.000
0.750 0.250 0.500
```

Results
**Size of the total moment**: 0.002 μB per formula unit
**Formation energy from the elements**: 604 meV per atom
**Crystal system**: tetragonal
**Excess energy over the best structure of this formula in the dataset**: 0.244 eV/atom

First-principles (PBE) data for a geometry-optimized LiCaW2 structure, as listed in Alexandria via LeMat-Bulk.

POSCAR file:
```
LiCaW2
1.0
-2.571 -0.131 0.870
1.391 -0.774 3.994
0.085 6.490 1.229
W Ca Li
2 1 1
Direct
0.000 0.000 0.018
0.500 0.500 0.196
0.000 0.000 0.502
0.500 0.500 0.784
```

Results
**Size of the total moment**: 0.000 μB per formula unit
**Formation energy from the elements**: 645 meV per atom
**Crystal system**: orthorhombic
**Excess energy over the best structure of this formula in the dataset**: 0.127 eV/atom